#A
The following is a PBE-GGA calculation of an optimized crystal structure of CsBa2In2, from Alexandria.

Properties
N(E_F)   1.6 states/eV/f.u.
Total magnetization   0.00 μB/f.u.

Structure (extended XYZ):
```
10
Lattice="-7.175 -2.617 7.070 0.334 -9.861 -3.311 2.957 -0.807 2.702" Properties=species:S:1:pos:R:3 pbc="T T T"
In 0.633 -7.181 0.252
Ba -0.922 -3.880 -0.150
Ba -5.919 -8.598 3.909
In -2.886 -10.501 3.112
Cs -3.420 -6.239 1.880
Cs 0.000 0.000 0.000
Ba -4.580 -3.118 4.080
In -4.517 -6.104 6.209
In -0.998 -2.784 3.350
Ba -2.261 -9.360 -0.321
```

---

#B
The following is a PBE-GGA calculation of an optimized crystal structure of CsBa2In2, from Alexandria.

Properties
N(E_F)   6.4 states/eV/f.u.
Total magnetization   0.00 μB/f.u.

Structure (extended XYZ):
```
5
Lattice="5.302 0.000 0.000 0.000 5.302 0.000 2.651 2.651 9.387" Properties=species:S:1:pos:R:3 pbc="T T T"
Ba 5.302 5.302 6.925
In 2.651 5.302 4.694
In 5.302 2.651 4.694
Cs 0.000 0.000 0.000
Ba 2.651 2.651 2.462
```

---

Pick the least stable structure from those above. Pick: #B